DFT (PBE) results for a geometry-optimized Pm3Sm5Er4 structure.

Lattice parameters (Å, degrees): 6.2224 7.1809 8.7929 90.10 90.01 90.08
With the nearest neighbours (Å) after each atom.
Fractional coordinates of all 12 atoms:
1 Pm 0.0000 0.0000 0.0000  8 Sm 3.59-3.61, 2 Pm 3.61, 2 Er 3.61
2 Pm 0.1659 0.7482 0.6650  6 Er 3.56-3.62, 5 Sm 3.58-3.61, 1 Pm 3.61
3 Pm 0.8341 0.2518 0.3350  6 Er 3.56-3.62, 5 Sm 3.58-3.61, 1 Pm 3.61
4 Sm 0.0000 0.5000 0.0000  4 Sm 3.58-3.59, 4 Pm 3.59-3.60, 4 Er 3.59-3.61
5 Sm 0.3331 0.0003 0.3348  5 Er 3.57-3.60, 3 Sm 3.57-3.61, 4 Pm 3.58-3.60
6 Sm 0.4985 0.2520 0.9997  6 Sm 3.56-3.62, 3 Pm 3.59-3.61, 3 Er 3.59-3.60
7 Sm 0.5015 0.7480 0.0003  6 Sm 3.56-3.62, 3 Pm 3.59-3.61, 3 Er 3.59-3.60
8 Sm 0.6669 0.9997 0.6652  5 Er 3.57-3.60, 3 Sm 3.57-3.61, 4 Pm 3.58-3.60
9 Er 0.1675 0.2522 0.6651  3 Er 3.56-3.59, 4 Pm 3.56-3.62, 5 Sm 3.57-3.60
10 Er 0.3341 0.5003 0.3352  4 Er 3.56-3.59, 3 Pm 3.56-3.59, 5 Sm 3.59-3.61
11 Er 0.6659 0.4997 0.6648  4 Er 3.56-3.59, 3 Pm 3.56-3.59, 5 Sm 3.59-3.61
12 Er 0.8325 0.7478 0.3349  3 Er 3.56-3.59, 4 Pm 3.56-3.62, 5 Sm 3.57-3.60

Computed properties:
Crystal system: triclinic
Raw total energy, eV/atom: -4.659
Excess energy over the best structure of this formula in the dataset, meV/atom: 0